CeMg | PBE-GGA | relaxed

a b c (Å): 5.5437 5.5437 6.4300
angles (deg): 90.00 90.00 120.00
Space group P6_3/mmc (No. 194)
Unique sites:
Ce1 0.3333 0.6667 0.2500 (multiplicity 2)
Mg1 0.3333 0.6667 0.7500 (multiplicity 2)

- E: -10.9 eV for the cell shown
- Formation enthalpy at 0 K: 1.04 eV per atom



Fe3RhN | PBE-GGA | relaxed

a b c (Å): 3.742 3.742 3.742
angles (deg): 90.00 90.00 90.00
Space group Pm-3m (No. 221)
Unique sites:
Fe1 0.000 0.000 0.500 (multiplicity 3)
Rh1 0.500 0.500 0.500 (multiplicity 1)
N1 0.000 0.000 0.000 (multiplicity 1)

- E: -40.5 eV for the cell shown
- Formation energy from raw total energies: 0.106 eV per atom
- Energy relative to the lowest polymorph listed for this composition: 0.0 kJ/mol of atoms



HfTi2Os | PBE-GGA | relaxed

a b c (Å): 4.566 4.566 3.200
angles (deg): 90.00 90.00 90.00
Space group P4/mmm (No. 123)
Unique sites:
Hf1 0.000 0.000 0.000 (multiplicity 1)
Ti1 0.000 0.500 0.500 (multiplicity 2)
Os1 0.500 0.500 0.000 (multiplicity 1)

- E: -37.7 eV for the cell shown
- Formation enthalpy at 0 K: -0.19 eV per atom
- Energy relative to the lowest polymorph listed for this composition: 20.5 kJ/mol of atoms



SrZnGa2Pt | PBE-GGA | relaxed

a b c (Å): 4.881 4.881 4.917
angles (deg): 90.00 90.00 90.00
Space group P4/mmm (No. 123)
Unique sites:
Sr1 0.000 0.000 0.000 (multiplicity 1)
Zn1 0.500 0.500 0.000 (multiplicity 1)
Ga1 0.000 0.500 0.500 (multiplicity 2)
Pt1 0.500 0.500 0.500 (multiplicity 1)

- E: -17.1 eV for the cell shown
- Formation enthalpy at 0 K: -0.41 eV per atom
- Energy relative to the lowest polymorph listed for this composition: 15.7 kJ/mol of atoms



The highest E belongs to which entry? CeMg